# 1
Computed, not measured: crystalline Hf5Co2Pt at its relaxed geometry at the GGA-PBE level of DFT.

Unit cell a=6.630 b=6.630 c=13.256 alpha=90.00 beta=90.00 gamma=90.00
Space group I4/mcm (No. 140)
Unique sites:
Hf  0.000  0.000  0.000 x4
Hf  0.166  0.334  0.144 x16
Co  0.134  0.366  0.500 x8
Pt  0.000  0.000  0.250 x4

Summary:
- Total moment: 0.0 μB per formula unit
- Formation energy: -48.4 kJ/mol of atoms

---

# 2
Computed, not measured: crystalline Hf6Co5Pt at its relaxed geometry at the GGA-PBE level of DFT.

Unit cell a=4.487 b=6.450 c=7.087 alpha=90.00 beta=108.29 gamma=90.00
Space group P2/m (No. 10)
Unique sites:
Hf  0.000  0.241  0.000 x2
Hf  0.330  0.247  0.659 x4
Co  0.165  0.000  0.330 x2
Co  0.169  0.500  0.338 x2
Co  0.500  0.000  0.000 x1
Pt  0.500  0.500  0.000 x1

Summary:
- Total moment: 3.6 μB per formula unit
- Formation energy: -45.9 kJ/mol of atoms

---

# 3
Computed, not measured: crystalline Hf4Co2Pt at its relaxed geometry at the GGA-PBE level of DFT.

Unit cell a=4.1022 b=4.1022 c=27.3700 alpha=90.00 beta=90.00 gamma=120.00
Space group R-3m (No. 166, hexagonal axes)
Unique sites:
Hf  0.0000  0.0000  0.1144 x6
Hf  0.0000  0.0000  0.2979 x6
Co  0.0000  0.0000  0.4017 x6
Pt  0.0000  0.0000  0.5000 x3

Summary:
- Total moment: 0.0 μB per formula unit
- Formation energy: -39.0 kJ/mol of atoms

---

# 4
Computed, not measured: crystalline HfCoPt at its relaxed geometry at the GGA-PBE level of DFT.

Unit cell a=3.314 b=3.314 c=8.717 alpha=90.00 beta=90.00 gamma=90.00
Space group I4mm (No. 107)
Unique sites:
Hf  0.000  0.000  0.000 x2
Co  0.000  0.000  0.655 x2
Pt  0.000  0.000  0.330 x2

Summary:
- Total moment: 1.2 μB per formula unit
- Formation energy: -55.7 kJ/mol of atoms

---

# 5
Computed, not measured: crystalline Hf2CoPt9 at its relaxed geometry at the GGA-PBE level of DFT.

Unit cell a=3.989 b=3.989 c=11.961 alpha=90.00 beta=90.00 gamma=90.00
Space group P4/mmm (No. 123)
Unique sites:
Hf  0.000  0.000  0.173 x2
Co  0.000  0.000  0.500 x1
Pt  0.000  0.500  0.000 x2
Pt  0.000  0.500  0.339 x4
Pt  0.500  0.500  0.169 x2
Pt  0.500  0.500  0.500 x1

Summary:
- Total moment: 3.5 μB per formula unit
- Formation energy: -72.6 kJ/mol of atoms

---

# 6
Computed, not measured: crystalline Hf7Co2Pt2 at its relaxed geometry at the GGA-PBE level of DFT.

Unit cell a=3.364 b=13.975 c=8.999 alpha=90.00 beta=90.00 gamma=90.00
Space group Imm2 (No. 44)
Unique sites:
Hf  0.000  0.000  0.000 x2
Hf  0.000  0.125  0.402 x4
Hf  0.000  0.310  0.617 x4
Hf  0.000  0.370  0.263 x4
Co  0.000  0.232  0.922 x4
Pt  0.000  0.000  0.637 x2
Pt  0.000  0.500  0.747 x2

Summary:
- Total moment: 0.0 μB per formula unit
- Formation energy: -51.3 kJ/mol of atoms
- Excess energy over the best structure of this formula in the dataset: 0.0 meV per atom

---

# 7
Computed, not measured: crystalline Hf2Co2Pt at its relaxed geometry at the GGA-PBE level of DFT.

Unit cell a=6.793 b=6.793 c=3.373 alpha=90.00 beta=90.00 gamma=90.00
Space group P4/mbm (No. 127)
Unique sites:
Hf  0.179  0.321  0.000 x4
Co  0.121  0.621  0.500 x4
Pt  0.000  0.000  0.500 x2

Summary:
- Total moment: 0.9 μB per formula unit
- Formation energy: -60.5 kJ/mol of atoms
- Excess energy over the best structure of this formula in the dataset: 0.0 meV per atom

---

# 8
Computed, not measured: crystalline Hf6CoPt2 at its relaxed geometry at the GGA-PBE level of DFT.

Unit cell a=5.582 b=7.202 c=10.375 alpha=90.00 beta=121.62 gamma=90.00
Space group P2_1/c (No. 14)
Unique sites:
Hf  0.088  0.051  0.249 x4
Hf  0.207  0.725  0.060 x4
Hf  0.385  0.155  0.040 x4
Co  0.500  0.000  0.500 x2
Pt  0.328  0.096  0.715 x4

Summary:
- Total moment: 0.0 μB per formula unit
- Formation energy: -48.9 kJ/mol of atoms
- Excess energy over the best structure of this formula in the dataset: 80.5 meV per atom

---

# 9
Computed, not measured: crystalline HfCoPt at its relaxed geometry at the GGA-PBE level of DFT.

Unit cell a=3.7289 b=3.7289 c=27.4929 alpha=90.00 beta=90.00 gamma=120.00
Space group R-3m (No. 166, hexagonal axes)
Unique sites:
Hf  0.0000  0.0000  0.0875 x6
Co  0.0000  0.0000  0.1803 x6
Pt  0.0000  0.0000  0.3004 x6

Summary:
- Total moment: 0.9 μB per formula unit
- Formation energy: -19.4 kJ/mol of atoms

---

# 10
Computed, not measured: crystalline HfCo2Pt2 at its relaxed geometry at the GGA-PBE level of DFT.

Unit cell a=3.446 b=3.446 c=13.312 alpha=90.00 beta=90.00 gamma=90.00
Space group I4/mmm (No. 139)
Unique sites:
Hf  0.000  0.000  0.000 x2
Co  0.000  0.500  0.250 x4
Pt  0.000  0.000  0.397 x4

Summary:
- Total moment: 3.4 μB per formula unit
- Formation energy: -37.3 kJ/mol of atoms
- Excess energy over the best structure of this formula in the dataset: 0.0 meV per atom

---

# 11
Computed, not measured: crystalline Hf4CoPt2 at its relaxed geometry at the GGA-PBE level of DFT.

Unit cell a=4.668 b=4.668 c=13.389 alpha=90.00 beta=90.00 gamma=90.00
Space group I4/mmm (No. 139)
Unique sites:
Hf  0.000  0.000  0.185 x4
Hf  0.000  0.500  0.000 x4
Co  0.000  0.000  0.000 x2
Pt  0.000  0.000  0.379 x4

Summary:
- Total moment: 0.0 μB per formula unit
- Formation energy: -28.4 kJ/mol of atoms

---

# 12
Computed, not measured: crystalline HfCoPt3 at its relaxed geometry at the GGA-PBE level of DFT.

Unit cell a=4.542 b=4.542 c=4.542 alpha=90.00 beta=90.00 gamma=90.00
Space group Pm-3m (No. 221)
Unique sites:
Hf  0.000  0.000  0.000 x1
Co  0.500  0.500  0.500 x1
Pt  0.000  0.500  0.500 x3

Summary:
- Total moment: 2.3 μB per formula unit
- Formation energy: 37.3 kJ/mol of atoms
- Excess energy over the best structure of this formula in the dataset: 0.0 meV per atom